# 1
First-principles (PBE-GGA) data for a relaxed structure of SiNi2Ir, as listed in the Open Quantum Materials Database.

Lattice parameters (Å, degrees): 4.0709 4.0709 4.0709 60.00 60.00 60.00
Sites, in units of the cell vectors:
Ir 0.2500 0.2500 0.2500
Ni 0.7500 0.7500 0.7500
Ni 0.0000 0.0000 0.0000
Si 0.5000 0.5000 0.5000

## Properties
- Magnetic moment: 0.0 μB/f.u.
- DFT total energy: -26.798 eV for the cell shown

=====

# 2
First-principles (PBE-GGA) data for a relaxed structure of Er5ReTe3, as listed in the Open Quantum Materials Database.

Lattice parameters (Å, degrees): 8.1393 8.1393 4.1798 90.00 90.00 120.00
Sites, in units of the cell vectors:
Te 0.2499 0.0000 0.5000
Te 0.7501 0.7501 0.5000
Te 0.0000 0.2499 0.5000
Er 0.3415 0.3415 0.0000
Er 0.3333 0.6667 0.5000
Er 0.6585 0.0000 0.0000
Er 0.6667 0.3333 0.5000
Er 0.0000 0.6585 0.0000
Re 0.0000 0.0000 0.0000

## Properties
- Magnetic moment: 0.0 μB/f.u.
- Polymorph energy (0 for the lowest one): 152 meV per atom

=====

# 3
First-principles (PBE-GGA) data for a relaxed structure of NaZrAu3S4, as listed in the Open Quantum Materials Database.

Lattice parameters (Å, degrees): 5.6849 8.1978 10.1861 90.00 95.54 90.00
Sites, in units of the cell vectors:
Au 0.4158 0.7500 0.3423
Au 0.5842 0.2500 0.6577
Au 0.3287 0.9292 0.0802
Au 0.3287 0.5708 0.0802
Au 0.6713 0.0708 0.9198
Au 0.6713 0.4292 0.9198
S 0.9831 0.2500 0.0125
S 0.0169 0.7500 0.9875
S 0.9414 0.2500 0.5594
S 0.0586 0.7500 0.4406
S 0.6281 0.9963 0.2503
S 0.3719 0.4963 0.7497
S 0.3719 0.0037 0.7497
S 0.6281 0.5037 0.2503
Zr 0.1302 0.2500 0.7794
Zr 0.8698 0.7500 0.2206
Na 0.9898 0.2500 0.2939
Na 0.0102 0.7500 0.7061

## Properties
- Magnetic moment: 0.0 μB/f.u.
- Polymorph energy (0 for the lowest one): 64 meV per atom

=====

# 4
First-principles (PBE-GGA) data for a relaxed structure of CsLu2CuTeS3, as listed in the Open Quantum Materials Database.

Lattice parameters (Å, degrees): 7.3767 7.3767 14.2131 90.00 90.00 148.07
Sites, in units of the cell vectors:
S 0.2484 0.7516 0.9010
S 0.7516 0.2484 0.4010
S 0.2484 0.7516 0.5990
S 0.0000 0.0000 0.5000
S 0.0000 0.0000 0.0000
S 0.7516 0.2484 0.0990
Lu 0.3665 0.6335 0.4495
Lu 0.6335 0.3665 0.9495
Lu 0.6335 0.3665 0.5505
Lu 0.3665 0.6335 0.0505
Te 0.5683 0.4317 0.7500
Te 0.4317 0.5683 0.2500
Cu 0.1758 0.8242 0.7500
Cu 0.8242 0.1758 0.2500
Cs 0.8711 0.1289 0.7500
Cs 0.1289 0.8711 0.2500

## Properties
- Magnetic moment: 0.0 μB/f.u.
- Polymorph energy (0 for the lowest one): 84 meV per atom

=====

# 5
First-principles (PBE-GGA) data for a relaxed structure of LaEr2, as listed in the Open Quantum Materials Database.

Lattice parameters (Å, degrees): 6.6917 6.6917 6.6917 60.00 60.00 60.00
Sites, in units of the cell vectors:
Er 0.1250 0.6250 0.6250
Er 0.6250 0.6250 0.6250
Er 0.6250 0.6250 0.1250
Er 0.6250 0.1250 0.6250
La 0.2500 0.2500 0.2500
La 0.0000 0.0000 0.0000

## Properties
- Magnetic moment: 2.6 μB/f.u.
- Polymorph energy (0 for the lowest one): 0 meV per atom

=====

# 6
First-principles (PBE-GGA) data for a relaxed structure of HfFeAsIr, as listed in the Open Quantum Materials Database.

Lattice parameters (Å, degrees): 4.5023 4.5023 4.5023 60.00 60.00 60.00
Sites, in units of the cell vectors:
Fe 0.7500 0.7500 0.7500
Ir 0.5000 0.5000 0.5000
Hf 0.2500 0.2500 0.2500
As 0.0000 0.0000 0.0000

## Properties
- Magnetic moment: 3.1 μB/f.u.
- Polymorph energy (0 for the lowest one): 109 meV per atom

=====

# 7
First-principles (PBE-GGA) data for a relaxed structure of BaMgHgPb2, as listed in the Open Quantum Materials Database.

Lattice parameters (Å, degrees): 7.2281 7.2281 7.2281 139.29 139.29 58.94
Sites, in units of the cell vectors:
Mg 0.3827 0.3827 0.0000
Pb 0.7534 0.2534 0.5000
Pb 0.2534 0.7534 0.5000
Ba 0.0124 0.0124 0.0000
Hg 0.5981 0.5981 0.0000

## Properties
- DFT total energy: -13.000 eV for the cell shown

=====

# 8
First-principles (PBE-GGA) data for a relaxed structure of DyHfMg, as listed in the Open Quantum Materials Database.

Lattice parameters (Å, degrees): 4.9429 4.9429 4.9429 60.00 60.00 60.00
Sites, in units of the cell vectors:
Hf 0.7500 0.7500 0.7500
Mg 0.0000 0.0000 0.0000
Dy 0.2500 0.2500 0.2500

## Properties
- Magnetic moment: 0.0 μB/f.u.
- Polymorph energy (0 for the lowest one): 0 meV per atom